No. 1
VASP calculation (GGA-PBE) on crystalline MgGa2Ge2 at its relaxed geometry.

The structure in CIF format:
```
data_MgGa2Ge2
_chemical_formula_sum 'Mg2 Ga4 Ge4'
_cell_length_a 4.473
_cell_length_b 4.473
_cell_length_c 10.512
_cell_angle_alpha 90.00
_cell_angle_beta 90.00
_cell_angle_gamma 90.00
_symmetry_space_group_name_H-M 'I 4/m m m'
_symmetry_Int_Tables_number 139
_symmetry_space_group_name_Hall '-I 4 2'
loop_
_atom_site_label
_atom_site_fract_x
_atom_site_fract_y
_atom_site_fract_z
_atom_site_occupancy
Mg1 0.000 0.000 0.000 1
Ga1 0.000 0.000 0.384 1
Ge1 0.000 0.500 0.250 1
```

## Properties
The crystal system is tetragonal. As for the total energy: -32.60 eV per cell.

---

No. 2
VASP calculation (GGA-PBE) on crystalline Ho2MgC at its relaxed geometry.

The structure in CIF format:
```
data_Ho2MgC
_chemical_formula_sum 'Ho6 Mg3 C3'
_cell_length_a 3.5382
_cell_length_b 3.5382
_cell_length_c 25.7788
_cell_angle_alpha 90.00
_cell_angle_beta 90.00
_cell_angle_gamma 120.00
_symmetry_space_group_name_H-M 'R -3 m'
_symmetry_Int_Tables_number 166
_symmetry_space_group_name_Hall '-R 3 2"'
loop_
_atom_site_label
_atom_site_fract_x
_atom_site_fract_y
_atom_site_fract_z
_atom_site_occupancy
Ho1 0.0000 0.0000 0.2190 1
Mg1 0.0000 0.0000 0.0000 1
C1 0.0000 0.0000 0.5000 1
```

## Properties
The crystal system is trigonal. As for the total energy: -62.62 eV per cell.

---

No. 3
VASP calculation (GGA-PBE) on crystalline BaCaB3 at its relaxed geometry.

The structure in CIF format:
```
data_BaCaB3
_chemical_formula_sum 'Ba1 Ca1 B3'
_cell_length_a 4.930
_cell_length_b 4.930
_cell_length_c 4.930
_cell_angle_alpha 90.00
_cell_angle_beta 90.00
_cell_angle_gamma 90.00
_symmetry_space_group_name_H-M 'P m -3 m'
_symmetry_Int_Tables_number 221
_symmetry_space_group_name_Hall '-P 4 2 3'
loop_
_atom_site_label
_atom_site_fract_x
_atom_site_fract_y
_atom_site_fract_z
_atom_site_occupancy
Ba1 0.000 0.000 0.000 1
Ca1 0.500 0.500 0.500 1
B1 0.000 0.000 0.500 1
```

## Properties
The crystal system is cubic. As for the total energy: -13.08 eV per cell.

---

No. 4
VASP calculation (GGA-PBE) on crystalline MgCdPCl2 at its relaxed geometry.

The structure in CIF format:
```
data_MgCdPCl2
_chemical_formula_sum 'Mg1 Cd1 P1 Cl2'
_cell_length_a 4.686
_cell_length_b 4.686
_cell_length_c 5.688
_cell_angle_alpha 90.00
_cell_angle_beta 90.00
_cell_angle_gamma 90.00
_symmetry_space_group_name_H-M 'P 4/m m m'
_symmetry_Int_Tables_number 123
_symmetry_space_group_name_Hall '-P 4 2'
loop_
_atom_site_label
_atom_site_fract_x
_atom_site_fract_y
_atom_site_fract_z
_atom_site_occupancy
Mg1 0.000 0.000 0.000 1
Cd1 0.500 0.500 0.500 1
P1 0.000 0.000 0.500 1
Cl1 0.000 0.500 0.000 1
```

## Properties
The crystal system is tetragonal. The value obtained for the uncorrected formation energy is -0.39 eV/atom.

---

No. 5
VASP calculation (GGA-PBE) on crystalline Pu2Th2Si4Pt at its relaxed geometry.

The structure in CIF format:
```
data_Pu2Th2Si4Pt
_chemical_formula_sum 'Pu4 Th4 Si8 Pt2'
_cell_length_a 6.932
_cell_length_b 6.932
_cell_length_c 8.432
_cell_angle_alpha 90.00
_cell_angle_beta 90.00
_cell_angle_gamma 90.00
_symmetry_space_group_name_H-M 'I 4/m m m'
_symmetry_Int_Tables_number 139
_symmetry_space_group_name_Hall '-I 4 2'
loop_
_atom_site_label
_atom_site_fract_x
_atom_site_fract_y
_atom_site_fract_z
_atom_site_occupancy
Pu1 0.000 0.000 0.169 1
Th1 0.000 0.500 0.250 1
Si1 0.245 0.245 0.500 1
Pt1 0.000 0.000 0.500 1
```

## Properties
The crystal system is tetragonal. The value obtained for the uncorrected formation energy is -0.36 eV/atom.

---

No. 6
VASP calculation (GGA-PBE) on crystalline Be3Mo at its relaxed geometry.

The structure in CIF format:
```
data_Be3Mo
_chemical_formula_sum 'Be12 Mo4'
_cell_length_a 5.282
_cell_length_b 8.495
_cell_length_c 3.511
_cell_angle_alpha 90.00
_cell_angle_beta 90.00
_cell_angle_gamma 90.00
_symmetry_space_group_name_H-M 'C m c m'
_symmetry_Int_Tables_number 63
_symmetry_space_group_name_Hall '-C 2c 2'
loop_
_atom_site_label
_atom_site_fract_x
_atom_site_fract_y
_atom_site_fract_z
_atom_site_occupancy
Be1 0.000 0.152 0.250 1
Be2 0.203 0.077 0.750 1
Mo1 0.000 0.352 0.750 1
```

## Properties
The crystal system is orthorhombic. As for the total energy: -89.86 eV per cell.

---

No. 7
VASP calculation (GGA-PBE) on crystalline Y4AsSe3 at its relaxed geometry.

The structure in CIF format:
```
data_Y4AsSe3
_chemical_formula_sum 'Y8 As2 Se6'
_cell_length_a 8.225
_cell_length_b 11.590
_cell_length_c 4.090
_cell_angle_alpha 90.00
_cell_angle_beta 90.00
_cell_angle_gamma 90.00
_symmetry_space_group_name_H-M 'C m m m'
_symmetry_Int_Tables_number 65
_symmetry_space_group_name_Hall '-C 2 2'
loop_
_atom_site_label
_atom_site_fract_x
_atom_site_fract_y
_atom_site_fract_z
_atom_site_occupancy
Y1 0.000 0.244 0.000 1
Y2 0.239 0.000 0.500 1
As1 0.000 0.000 0.000 1
Se1 0.000 0.500 0.000 1
Se2 0.250 0.250 0.500 1
```

## Properties
The crystal system is orthorhombic. The value obtained for the uncorrected formation energy is -1.76 eV/atom.

---

No. 8
VASP calculation (GGA-PBE) on crystalline Li2CeSm at its relaxed geometry.

The structure in CIF format:
```
data_Li2CeSm
_chemical_formula_sum 'Li2 Ce1 Sm1'
_cell_length_a 3.241
_cell_length_b 3.241
_cell_length_c 9.966
_cell_angle_alpha 90.00
_cell_angle_beta 90.00
_cell_angle_gamma 90.00
_symmetry_space_group_name_H-M 'P 4/m m m'
_symmetry_Int_Tables_number 123
_symmetry_space_group_name_Hall '-P 4 2'
loop_
_atom_site_label
_atom_site_fract_x
_atom_site_fract_y
_atom_site_fract_z
_atom_site_occupancy
Li1 0.000 0.000 0.249 1
Ce1 0.500 0.500 0.500 1
Sm1 0.500 0.500 0.000 1
```

## Properties
The crystal system is tetragonal. As for the total energy: -13.50 eV per cell.